Here is a relaxed VIrBr2 crystal from the Alexandria database. Energies are from PBE. Values from VASP.

Calculated values
- polymorph energy (0 for the lowest one) (meV/atom) = 451
- spin magnetization (μB/atom) = 0.65
- formation energy from raw total energies (kJ per mole of atoms) = 84.42
- SG = No. 166
- E (eV/atom) = -4.456

Cell and atoms, written as Quantum ESPRESSO input:
```
&SYSTEM
  ibrav = 0, nat = 4, ntyp = 3
/
ATOMIC_SPECIES
V 50.94 V.upf
Ir 192.22 Ir.upf
Br 79.90 Br.upf
CELL_PARAMETERS angstrom
1.8870 1.0895 7.8222
-1.8870 1.0895 7.8222
0.0000 -2.1790 7.8222
ATOMIC_POSITIONS angstrom
V 0.0000 0.0000 0.0000
Ir 0.0000 0.0000 11.7333
Br 0.0000 0.0000 2.4907
Br 0.0000 0.0000 20.9759
```